1.
SrMgAgPb | PBE | optimized geometry

Unit cell a=5.3426 b=5.3426 c=5.3426 alpha=60.00 beta=60.00 gamma=60.00
With the nearest neighbours (Å) after each atom.
Sites, in units of the cell vectors:
Pb1 0.5000 0.5000 0.5000  4 Sr 3.27, 4 Mg 3.27
Mg1 0.2500 0.2500 0.2500  4 Pb 3.27, 4 Ag 3.27
Ag1 0.0000 0.0000 0.0000  4 Mg 3.27, 4 Sr 3.27
Sr1 0.7500 0.7500 0.7500  4 Ag 3.27, 4 Pb 3.27

## Properties
Total DFT energy (no corrections), eV/atom: -2.707
DOS(E_F), states/eV/f.u.: 2.629
Volume, Å³ per cell: 107.8
Crystal system: cubic
Magnetic moment, μB per atom: 0.000
Energy relative to the elements, kJ per mole of atoms: -23.93

=====

2.
SrMgAgPb2 | PBE | optimized geometry

Unit cell a=4.7379 b=4.7379 c=7.2906 alpha=108.96 beta=108.96 gamma=90.00
With the nearest neighbours (Å) after each atom.
Sites, in units of the cell vectors:
Mg1 0.7500 0.2500 0.5000  4 Pb 2.93
Sr1 0.0000 0.0000 0.0000  8 Pb 3.67, 4 Ag 4.01, 4 Mg 4.01
Ag1 0.2500 0.7500 0.5000  4 Pb 2.93
Pb1 0.6164 0.6164 0.2329  2 Mg 2.93, 2 Ag 2.93, 1 Pb 3.02
Pb2 0.3836 0.3836 0.7671  2 Mg 2.93, 2 Ag 2.93, 1 Pb 3.02

## Properties
Total DFT energy (no corrections), eV/atom: -2.970
DOS(E_F), states/eV/f.u.: 1.612
Volume, Å³ per cell: 145.4
Crystal system: tetragonal
Magnetic moment, μB per atom: 0.000
Energy relative to the elements, kJ per mole of atoms: -25.23